Entry from the Alexandria database: LiTcCl2 after structural relaxation (PBE).

Output
energy relative to the elements, uncorrected: -0.33 eV/atom
DOS at the Fermi energy: 0.14 states/eV/atom
E above lowest polymorph: 130 meV/atom

Unit cell a=3.131 b=3.131 c=7.388 alpha=90.00 beta=90.00 gamma=90.00
Space group P4mm (No. 99)
Inequivalent atoms, fractional coordinates:
1 Li 0.000 0.000 0.000 x1
2 Tc 0.500 0.500 0.271 x1
3 Cl 0.000 0.000 0.427 x1
4 Cl 0.500 0.500 0.918 x1



Entry from the Alexandria database: LiTcCl2 after structural relaxation (PBE).

Output
energy relative to the elements, uncorrected: -0.33 eV/atom
DOS at the Fermi energy: 0.22 states/eV/atom
E above lowest polymorph: 131 meV/atom

Unit cell a=15.032 b=3.132 c=3.133 alpha=90.00 beta=92.23 gamma=90.00
Space group Cm (No. 8)
Inequivalent atoms, fractional coordinates:
1 Li 0.000 0.000 0.000 x2
2 Tc 0.133 0.500 0.525 x2
3 Cl 0.210 0.000 0.039 x2
4 Cl 0.459 0.000 0.492 x2